Record 1
NaHfI2: optimized geometry, PBE.

abc: 7.4222 7.4222 7.4222
angles: 90.00 90.00 90.00
Space group Fm-3m (No. 225)
Asymmetric unit:
1 Na 0.0000 0.0000 0.0000 x4
2 Hf 0.0000 0.0000 0.5000 x4
3 I 0.2500 0.2500 0.2500 x8

Computed properties:
Crystal system: cubic
Formation energy (no corrections) in eV/f.u.: -0.089
ΔE to the lowest computed polymorph in eV per atom: 0.000

***

Record 2
Ho2TmTl4: optimized geometry, PBE.

abc: 4.8629 4.8629 30.1395
angles: 90.00 90.00 120.00
Space group R-3m (No. 166, hexagonal axes)
Asymmetric unit:
1 Ho 0.0000 0.0000 0.1290 x6
2 Tm 0.0000 0.0000 0.0000 x3
3 Tl 0.0000 0.0000 0.2432 x6
4 Tl 0.0000 0.0000 0.3809 x6

Computed properties:
Energy of formation from the pure elements in eV per atom: -0.043
Crystal system: trigonal
ΔE to the lowest computed polymorph in eV per atom: 0.168

***

Record 3
Zr2TaTl: optimized geometry, PBE.

abc: 3.0432 3.0432 9.4731
angles: 90.00 90.00 90.00
Space group P4mm (No. 99)
Asymmetric unit:
1 Zr 0.0000 0.0000 0.0000 x1
2 Zr 0.5000 0.5000 0.2614 x1
3 Ta 0.0000 0.0000 0.5022 x1
4 Tl 0.5000 0.5000 0.7448 x1

Computed properties:
Energy of formation from the pure elements in eV per atom: 0.219
Crystal system: tetragonal
ΔE to the lowest computed polymorph in eV per atom: 0.223

***

Record 4
Sc4TeBr: optimized geometry, PBE.

abc: 8.5322 8.5322 8.5322
angles: 90.00 90.00 90.00
Space group F-43m (No. 216)
Asymmetric unit:
1 Sc 0.1240 0.1240 0.1240 x16
2 Te 0.2500 0.2500 0.7500 x4
3 Br 0.0000 0.0000 0.5000 x4

Computed properties:
Crystal system: cubic
Formation energy (no corrections) in eV/f.u.: 0.008

***

Ordered DFT total energy results: -3.62; -3.34; -7.61; -5.02; unit eV/atom.